{
  "formula": "AlFe2GeO6",
  "functional": "PBE with a Hubbard U",
  "state": "optimized geometry",
  "cell": [[4.9659, 0.0000, 0.0000], [0.0000, 5.1912, 0.0000], [-4.9340, 0.0000, 7.3843]],
  "species": ["Al", "Al", "Fe", "Fe", "Fe", "Fe", "Ge", "Ge", "O", "O", "O", "O", "O", "O", "O", "O", "O", "O", "O", "O"],
  "fractional_positions": [[0.0000, 0.0000, 0.0000], [0.0000, 0.5000, 0.5000], [0.2247, 0.0619, 0.7461], [0.2247, 0.4381, 0.2461], [0.7753, 0.5619, 0.7539], [0.7753, 0.9381, 0.2539], [0.5000, 0.0000, 0.5000], [0.5000, 0.5000, 0.0000], [0.1270, 0.1960, 0.4353], [0.1270, 0.3040, 0.9353], [0.2373, 0.6983, 0.4306], [0.2373, 0.8017, 0.9306], [0.3777, 0.0547, 0.2507], [0.3777, 0.4453, 0.7507], [0.6223, 0.5547, 0.2493], [0.6223, 0.9453, 0.7493], [0.7627, 0.1983, 0.0694], [0.7627, 0.3017, 0.5694], [0.8730, 0.6960, 0.0647], [0.8730, 0.8040, 0.5647]],
  "dft_energy_ev_per_atom": -6.728
}